# 1
Compound: CdSbPb2
Source: Alexandria via LeMat-Bulk
Functional: PBE
Structure: relaxed

Calculated values
- Magnetization: 0.0 Bohr magnetons per cell
- Space-group type: No. 6
- N(E_F): 1.6 states/eV/f.u.
- Uncorrected formation energy: 0.064 eV per atom

Lattice parameters (Å, degrees): 3.4176 5.0897 6.8252 90.00 103.06 90.00
Last column: nearest neighbours and their distance in Å.
Atoms (fractional coordinates):
Cd 0.0000 0.0000 0.0000  2 Sb 3.09, 5 Pb 3.37-3.44, 2 Cd 3.42
Sb 0.8664 0.5000 0.7372  2 Cd 3.09, 5 Pb 3.40-3.46, 2 Sb 3.42
Pb 0.2466 0.0000 0.5062  3 Cd 3.37-3.75, 4 Sb 3.40-3.46, 6 Pb 3.42-3.60
Pb 0.6210 0.5000 0.2234  4 Cd 3.37-3.44, 3 Sb 3.42-3.71, 6 Pb 3.42-3.60

***

# 2
Compound: Cd2Sb4Pb5
Source: Alexandria via LeMat-Bulk
Functional: PBE
Structure: relaxed

Calculated values
- Magnetization: 0.0 Bohr magnetons per cell
- Space-group type: No. 12
- N(E_F): 4.0 states/eV/f.u.
- Uncorrected formation energy: 0.061 eV per atom

Lattice parameters (Å, degrees): 9.0376 9.0376 8.9561 97.39 97.39 30.60
Last column: nearest neighbours and their distance in Å.
Atoms (fractional coordinates):
Cd 0.0475 0.0475 0.1476  1 Cd 2.93, 3 Sb 2.95-2.96
Cd 0.9525 0.9525 0.8524  1 Cd 2.93, 3 Sb 2.95-2.96
Sb 0.2154 0.2154 0.2517  1 Cd 2.95, 4 Pb 3.19-3.31
Sb 0.4665 0.4665 0.2455  2 Cd 2.96, 3 Pb 3.19-3.30
Sb 0.5335 0.5335 0.7545  2 Cd 2.96, 3 Pb 3.19-3.30
Sb 0.7846 0.7846 0.7483  1 Cd 2.95, 4 Pb 3.19-3.31
Pb 0.0000 0.0000 0.5000  4 Sb 3.30, 2 Cd 3.37, 4 Pb 3.47
Pb 0.3246 0.3246 0.9817  4 Sb 3.19-3.27, 2 Cd 3.56
Pb 0.3588 0.3588 0.5331  5 Sb 3.31-3.43, 2 Pb 3.47
Pb 0.6412 0.6412 0.4669  5 Sb 3.31-3.43, 2 Pb 3.47
Pb 0.6754 0.6754 0.0183  4 Sb 3.19-3.27, 2 Cd 3.56

***

# 3
Compound: CdSbPb2
Source: Alexandria via LeMat-Bulk
Functional: PBE
Structure: relaxed

Calculated values
- Magnetization: 0.0 Bohr magnetons per cell
- Space-group type: No. 122
- N(E_F): 1.5 states/eV/f.u.
- Uncorrected formation energy: 0.181 eV per atom

Lattice parameters (Å, degrees): 8.1577 8.1577 8.1577 128.84 128.84 75.27
Last column: nearest neighbours and their distance in Å.
Atoms (fractional coordinates):
Cd 0.0000 0.0000 0.0000  4 Pb 2.95
Cd 0.7500 0.2500 0.5000  4 Pb 2.95
Sb 0.2500 0.7500 0.5000  4 Pb 2.99
Sb 0.5000 0.5000 0.0000  4 Pb 2.99
Pb 0.1205 0.6250 0.9955  2 Cd 2.95, 2 Sb 2.99
Pb 0.3750 0.3705 0.4955  2 Cd 2.95, 2 Sb 2.99
Pb 0.6295 0.1250 0.0045  2 Cd 2.95, 2 Sb 2.99
Pb 0.8750 0.8795 0.5045  2 Cd 2.95, 2 Sb 2.99